First-principles (PBE with a Hubbard U) data for an optimized crystal structure of MnRu3O, as listed in the Alexandria database.

Cell lengths 4.080, 4.080, 4.080 Å; angles 90.00, 90.00, 90.00 degrees
Positions (direct):
Mn 0.000 0.000 0.000
Ru 0.000 0.500 0.500
Ru 0.500 0.000 0.500
Ru 0.500 0.500 0.000
O 0.500 0.500 0.500

Properties
- DOS(E_F) (states/eV/f.u.) = 6.2
- offset from the most stable computed form (eV/atom) = 0.0000
- density (g/cm3) = 9.1
- size of the total moment (μB/f.u.) = 4.241
- final energy (eV per atom) = -7.80